Record 1
A relaxed structure of PmSm2Mg2. Source: Alexandria via LeMat-Bulk, functional PBE-GGA.

Unit cell a=3.8219 b=5.5369 c=14.2506 alpha=90.00 beta=97.74 gamma=90.00
Atoms (fractional coordinates):
Pm: 0.1506 0.2500 0.2994
Pm: 0.8494 0.7500 0.7006
Sm: 0.0447 0.7500 0.0890
Sm: 0.2365 0.7500 0.4744
Sm: 0.7635 0.2500 0.5256
Sm: 0.9553 0.2500 0.9110
Mg: 0.3598 0.2500 0.7199
Mg: 0.4474 0.7500 0.8946
Mg: 0.5526 0.2500 0.1054
Mg: 0.6402 0.7500 0.2801

Output
Raw total energy ... -0.26110 Ry per atom
Calculated volume ... 298.8 Å³ per cell
Energy above the most stable polymorph in this dataset ... 0.000 eV per atom
Symmetry ... P2_1/m
ΔH_f (0 K) ... -7.4 kJ per mole of atoms
Total magnetic moment ... 0.000 μB/atom

=====

Record 2
A relaxed structure of PmSmMg17. Source: Alexandria via LeMat-Bulk, functional PBE-GGA.

Unit cell a=7.8035 b=7.8035 c=7.8035 alpha=82.23 beta=82.23 gamma=82.23
Atoms (fractional coordinates):
Pm: 0.0000 0.0000 0.0000
Sm: 0.3410 0.3410 0.3410
Mg: 0.0234 0.0234 0.5108
Mg: 0.0234 0.5108 0.0234
Mg: 0.1706 0.6701 0.6701
Mg: 0.3170 0.3170 0.8298
Mg: 0.3170 0.8298 0.3170
Mg: 0.3690 0.6700 0.9717
Mg: 0.3690 0.9717 0.6700
Mg: 0.5108 0.0234 0.0234
Mg: 0.5711 0.5711 0.5711
Mg: 0.6701 0.1706 0.6701
Mg: 0.6700 0.3690 0.9717
Mg: 0.6701 0.6701 0.1706
Mg: 0.6700 0.9717 0.3690
Mg: 0.7695 0.7695 0.7695
Mg: 0.8298 0.3170 0.3170
Mg: 0.9717 0.3690 0.6700
Mg: 0.9717 0.6700 0.3690

Output
Raw total energy ... -0.14483 Ry per atom
Calculated volume ... 463.2 Å³ per cell
Symmetry ... R3m
ΔH_f (0 K) ... -4.4 kJ per mole of atoms
Total magnetic moment ... 0.000 μB/atom

=====

Record 3
A relaxed structure of Pm2SmMg6. Source: Alexandria via LeMat-Bulk, functional PBE-GGA.

Unit cell a=9.1818 b=9.1818 c=3.3204 alpha=90.00 beta=90.00 gamma=120.00
Atoms (fractional coordinates):
Pm: 0.3333 0.6667 0.0000
Pm: 0.6667 0.3333 0.0000
Sm: 0.0000 0.0000 0.0000
Mg: 0.0000 0.3329 0.5000
Mg: 0.0000 0.6671 0.5000
Mg: 0.3329 0.0000 0.5000
Mg: 0.3329 0.3329 0.5000
Mg: 0.6671 0.0000 0.5000
Mg: 0.6671 0.6671 0.5000

Output
Raw total energy ... -0.20127 Ry per atom
Calculated volume ... 242.4 Å³ per cell
Symmetry ... P6/mmm
ΔH_f (0 K) ... -9.2 kJ per mole of atoms
Total magnetic moment ... 0.000 μB/atom

=====

Please write out number 3 again, unchanged.
A relaxed structure of Pm2SmMg6. Source: Alexandria via LeMat-Bulk, functional PBE-GGA.

Unit cell a=9.1818 b=9.1818 c=3.3204 alpha=90.00 beta=90.00 gamma=120.00
Atoms (fractional coordinates):
Pm: 0.3333 0.6667 0.0000
Pm: 0.6667 0.3333 0.0000
Sm: 0.0000 0.0000 0.0000
Mg: 0.0000 0.3329 0.5000
Mg: 0.0000 0.6671 0.5000
Mg: 0.3329 0.0000 0.5000
Mg: 0.3329 0.3329 0.5000
Mg: 0.6671 0.0000 0.5000
Mg: 0.6671 0.6671 0.5000

Output
Raw total energy ... -0.20127 Ry per atom
Calculated volume ... 242.4 Å³ per cell
Symmetry ... P6/mmm
ΔH_f (0 K) ... -9.2 kJ per mole of atoms
Total magnetic moment ... 0.000 μB/atom

=====

Question: What is the raw total energy in the first record?
Answer: -0.26110 Ry per atom